Entry 1:
First-principles (PBE-GGA) data for a relaxed structure of FeCo2Rh, as listed in Alexandria via LeMat-Bulk.

Summary:
As for the space-group type: No. 123. Its crystal system is tetragonal. The calculation puts the formation energy at 22 meV per atom. The energy above the most stable polymorph in this dataset is 0.0 meV/atom. Its total magnetization is 1.843 μB/atom.

abc: 2.846 2.846 6.043
angles: 90.00 90.00 90.00
Atoms (fractional coordinates):
Fe1 0.000 0.000 0.000
Co1 0.500 0.500 0.228
Co2 0.500 0.500 0.772
Rh1 0.000 0.000 0.500


Entry 2:
First-principles (PBE-GGA) data for a relaxed structure of Fe3CoRh12, as listed in Alexandria via LeMat-Bulk.

Summary:
As for the space-group type: No. 123. Its crystal system is tetragonal. The calculation puts the formation energy at -22 meV per atom. Its total magnetization is 0.935 μB/atom.

abc: 3.806 3.806 15.201
angles: 90.00 90.00 90.00
Atoms (fractional coordinates):
Fe1 0.000 0.000 0.000
Fe2 0.000 0.000 0.250
Fe3 0.000 0.000 0.750
Co1 0.000 0.000 0.500
Rh1 0.000 0.500 0.125
Rh2 0.000 0.500 0.376
Rh3 0.000 0.500 0.624
Rh4 0.000 0.500 0.875
Rh5 0.500 0.000 0.125
Rh6 0.500 0.000 0.376
Rh7 0.500 0.000 0.624
Rh8 0.500 0.000 0.875
Rh9 0.500 0.500 0.000
Rh10 0.500 0.500 0.251
Rh11 0.500 0.500 0.500
Rh12 0.500 0.500 0.749


Entry 3:
First-principles (PBE-GGA) data for a relaxed structure of FeCoRh4, as listed in Alexandria via LeMat-Bulk.

Summary:
As for the space-group type: No. 216. Its crystal system is cubic. The calculation puts the formation energy at 473 meV per atom. The energy above the most stable polymorph in this dataset is 446.0 meV/atom. Its total magnetization is 1.397 μB/atom.

abc: 5.049 5.049 5.049
angles: 60.00 60.00 60.00
Atoms (fractional coordinates):
Fe1 0.000 0.000 0.000
Co1 0.250 0.250 0.250
Rh1 0.125 0.625 0.625
Rh2 0.625 0.125 0.625
Rh3 0.625 0.625 0.125
Rh4 0.625 0.625 0.625